Entry 1:
Here is a relaxed structure of SrPrTe2 from the Alexandria database. Energies are from PBE.

Summary:
Energy relative to the lowest polymorph listed for this composition: 159.5 meV/atom
Formation energy (no corrections): -5.62 eV per formula unit

```
SrPrTe2
1.0
3.975 0.000 0.000
0.000 3.975 0.000
0.000 0.000 8.031
Sr Pr Te
1 1 2
Cartesian
0.000 0.000 0.000 Sr
0.000 0.000 4.016 Pr
1.987 1.987 2.102 Te
1.987 1.987 5.929 Te
```



Entry 2:
Here is a relaxed structure of Mg3HIr4 from the Alexandria database. Energies are from PBE.

Summary:
Energy relative to the lowest polymorph listed for this composition: 21.0 meV/atom

```
Mg3HIr4
1.0
4.689 0.000 0.000
0.738 5.121 0.000
0.751 0.045 5.125
Mg H Ir
3 1 4
Cartesian
0.000 0.000 0.000 Mg
0.747 3.055 2.086 Mg
3.179 2.135 4.200 Mg
5.375 1.677 3.735 H
0.874 0.499 2.565 Ir
3.050 3.999 0.945 Ir
3.137 1.524 1.614 Ir
3.876 4.672 3.585 Ir
```



Entry 3:
Here is a relaxed structure of HfNbP2 from the Alexandria database. Energies are from PBE.

Summary:
Energy relative to the lowest polymorph listed for this composition: 715.5 meV/atom
Formation enthalpy at 0 K: -0.30 eV/atom

```
HfNbP2
1.0
5.652 0.000 0.000
0.000 5.652 0.000
0.000 0.000 11.581
Hf Nb P
4 4 8
Cartesian
0.000 0.000 0.000 Hf
0.000 2.826 2.895 Hf
2.826 0.000 8.686 Hf
2.826 2.826 5.791 Hf
0.000 0.000 5.791 Nb
0.000 2.826 8.686 Nb
2.826 0.000 2.895 Nb
2.826 2.826 0.000 Nb
1.341 1.413 7.238 P
1.413 4.167 10.134 P
1.413 4.311 4.343 P
1.485 1.413 1.448 P
4.167 4.239 1.448 P
4.239 1.341 4.343 P
4.239 1.485 10.134 P
4.311 4.239 7.238 P
```



Entry 4:
Here is a relaxed structure of NaCuN3 from the Alexandria database. Energies are from PBE.

Summary:
Formation energy (no corrections): 9.00 eV per formula unit

```
NaCuN3
1.0
3.805 0.000 0.000
0.000 3.805 0.000
0.000 0.000 3.805
Na Cu N
1 1 3
Cartesian
0.000 0.000 0.000 Na
1.903 1.903 1.903 Cu
0.000 1.903 1.903 N
1.903 0.000 1.903 N
1.903 1.903 0.000 N
```



Entry 5:
Here is a relaxed structure of La6Nd16Dy7 from the Alexandria database. Energies are from PBE.

Summary:
Formation enthalpy at 0 K: 0.19 eV/atom

```
La6Nd16Dy7
1.0
0.000 8.062 8.062
8.062 0.000 8.062
8.062 8.062 0.000
La Nd Dy
6 16 7
Cartesian
8.062 8.062 3.435 La
8.062 3.435 8.062 La
12.688 8.062 8.062 La
3.435 8.062 8.062 La
8.062 12.688 8.062 La
8.062 8.062 12.688 La
10.057 6.066 6.066 Nd
2.481 2.481 2.481 Nd
5.581 5.581 2.481 Nd
5.581 2.481 5.581 Nd
6.066 6.066 6.066 Nd
10.057 10.057 6.066 Nd
10.057 6.066 10.057 Nd
13.643 10.542 10.542 Nd
2.481 5.581 5.581 Nd
6.066 10.057 6.066 Nd
6.066 6.066 10.057 Nd
10.057 10.057 10.057 Nd
10.542 13.643 10.542 Nd
10.542 10.542 13.643 Nd
13.643 13.643 13.643 Nd
6.066 10.057 10.057 Nd
4.031 4.031 0.000 Dy
4.031 0.000 4.031 Dy
8.062 4.031 4.031 Dy
0.000 4.031 4.031 Dy
4.031 8.062 4.031 Dy
4.031 4.031 8.062 Dy
8.062 8.062 8.062 Dy
```



Entry 6:
Here is a relaxed structure of ThH2Os from the Alexandria database. Energies are from PBE.

Summary:
Raw total energy: -6.578 eV/atom

```
ThH2Os
1.0
3.896 0.000 0.000
0.000 4.232 0.000
-1.945 0.000 6.401
Th H Os
2 4 2
Cartesian
0.001 1.058 1.904 Th
1.950 3.174 4.497 Th
-0.005 3.174 0.736 H
0.003 3.174 3.114 H
1.948 1.058 3.287 H
1.956 1.058 5.665 H
-0.002 1.058 5.698 Os
1.953 3.174 0.703 Os
```



Entry 7:
Here is a relaxed structure of HgGeRh3 from the Alexandria database. Energies are from PBE.

Summary:
Energy relative to the lowest polymorph listed for this composition: 1232.2 meV/atom
Formation enthalpy at 0 K: 1.64 eV/atom

```
HgGeRh3
1.0
4.913 0.000 0.000
0.000 4.913 0.000
0.000 0.000 4.913
Hg Ge Rh
1 1 3
Cartesian
0.000 0.000 0.000 Hg
2.456 2.456 2.456 Ge
0.000 0.000 2.456 Rh
0.000 2.456 0.000 Rh
2.456 0.000 0.000 Rh
```



Entry 8:
Here is a relaxed structure of Li2ZrCu from the Alexandria database. Energies are from PBE.

Summary:
Energy relative to the lowest polymorph listed for this composition: 126.2 meV/atom
Formation enthalpy at 0 K: 0.19 eV/atom

```
Li2ZrCu
1.0
2.827 0.000 0.000
0.000 3.271 0.000
0.000 0.000 7.002
Li Zr Cu
2 1 1
Cartesian
0.000 0.000 1.354 Li
0.000 0.000 5.647 Li
1.414 1.635 3.501 Zr
1.414 1.635 0.000 Cu
```



Entry 9:
Here is a relaxed structure of Tb2Nd2Ir3 from the Alexandria database. Energies are from PBE.

Summary:
Energy relative to the lowest polymorph listed for this composition: 0.0 meV/atom
Formation enthalpy at 0 K: -0.71 eV/atom

```
Tb2Nd2Ir3
1.0
2.434 1.405 8.184
-2.434 1.405 8.184
0.000 -2.811 8.184
Tb Nd Ir
2 2 3
Cartesian
0.000 0.000 3.097 Tb
0.000 0.000 21.454 Tb
0.000 0.000 9.231 Nd
0.000 0.000 15.320 Nd
0.000 0.000 6.085 Ir
0.000 0.000 12.276 Ir
0.000 0.000 18.467 Ir
```



Entry 10:
Here is a relaxed structure of K2NiIrN from the Alexandria database. Energies are from PBE.

Summary:
Formation energy (no corrections): 2.54 eV per formula unit

```
K2NiIrN
1.0
5.835 0.000 0.000
0.000 5.835 0.000
0.000 0.000 3.700
K Ni Ir N
2 1 1 1
Cartesian
0.000 2.918 0.000 K
2.918 0.000 0.000 K
0.000 0.000 1.850 Ni
2.918 2.918 1.850 Ir
2.918 2.918 0.000 N
```



Entry 11:
Here is a relaxed structure of MgCo2C from the Alexandria database. Energies are from PBE.

Summary:
Energy relative to the lowest polymorph listed for this composition: 0.0 meV/atom
Formation enthalpy at 0 K: 0.08 eV/atom

```
MgCo2C
1.0
2.905 0.000 0.000
-1.452 2.515 0.000
0.000 0.000 18.798
Mg Co C
3 6 3
Cartesian
0.000 0.000 0.000 Mg
0.000 1.677 12.532 Mg
1.452 0.838 6.266 Mg
0.000 0.000 4.072 Co
0.000 0.000 14.726 Co
0.000 1.677 8.460 Co
0.000 1.677 16.604 Co
1.452 0.838 2.194 Co
1.452 0.838 10.338 Co
0.000 0.000 9.399 C
0.000 1.677 3.133 C
1.452 0.838 15.665 C
```



Entry 12:
Here is a relaxed structure of Tm2ZrScSe4 from the Alexandria database. Energies are from PBE.

Summary:
Formation energy (no corrections): -11.86 eV per formula unit

```
Tm2ZrScSe4
1.0
6.805 0.000 0.000
0.000 3.954 0.000
-2.312 0.000 6.469
Tm Zr Sc Se
2 1 1 4
Cartesian
0.000 0.000 0.000 Tm
-1.156 1.977 3.235 Tm
2.246 0.000 3.235 Zr
3.403 1.977 0.000 Sc
1.165 1.977 1.610 Se
0.010 0.000 4.889 Se
4.483 0.000 1.581 Se
3.327 1.977 4.860 Se
```